# Zr2NiPdPb2 (GGA-PBE, optimized geometry)
data_Zr2NiPdPb2
_space_group_name_H-M_alt 'P 1 m 1'
_space_group_IT_number 6
_cell_length_a 7.812
_cell_length_b 4.501
_cell_length_c 14.938
_cell_angle_alpha 90.00
_cell_angle_beta 99.86
_cell_angle_gamma 90.00
loop_
_space_group_symop_operation_xyz
'x,y,z'
'x,-y,z'
loop_
_atom_site_label
_atom_site_fract_x
_atom_site_fract_y
_atom_site_fract_z
_atom_site_occupancy
Zr1 0.000 0.000 0.000 1
Zr2 0.004 0.500 0.494 1
Zr3 0.242 0.000 0.741 1
Zr4 0.247 0.500 0.245 1
Zr5 0.489 0.000 0.490 1
Zr6 0.500 0.500 0.000 1
Zr7 0.746 0.000 0.242 1
Zr8 0.754 0.500 0.743 1
Ni1 0.060 0.000 0.183 1
Ni2 0.060 0.500 0.680 1
Ni3 0.308 0.500 0.430 1
Ni4 0.560 0.500 0.182 1
Pd1 0.310 0.000 0.935 1
Pd2 0.560 0.000 0.679 1
Pd3 0.811 0.000 0.430 1
Pd4 0.813 0.500 0.935 1
Pb1 0.123 0.500 0.865 1
Pb2 0.127 0.000 0.366 1
Pb3 0.365 0.500 0.615 1
Pb4 0.374 0.000 0.126 1
Pb5 0.614 0.500 0.366 1
Pb6 0.622 0.000 0.869 1
Pb7 0.876 0.500 0.126 1
Pb8 0.879 0.000 0.620 1
# Total DFT energy (no corrections) ... -6.326 eV/atom